Record 1
Computed, not measured: a relaxed structure of YAgPt2 at the PBE level of DFT.

Cell and atoms, written as extended XYZ:
```
4
Lattice="-1.3500 -1.3801 -3.7302 -3.1421 -1.2571 1.6022 -3.9121 3.8921 -0.0243" Properties=species:S:1:pos:R:3 pbc="T T T"
Ag -6.3644 1.5640 -0.6401
Pt -4.4284 3.4834 0.3138
Pt -1.9237 0.3676 -1.8045
Y -3.1268 1.0495 0.7433
```

Values from the calculation:
volume = 20.3 A^3/atom
D(E_F) = 1.34 states/eV per cell
M_tot = 0.00 μB per formula unit
ΔE_f = -0.624 eV/atom
E_tot = -5.9737 eV/atom



Record 2
Computed, not measured: a relaxed structure of Tb7Cd2Ni2 at the PBE level of DFT.

Cell and atoms, written as extended XYZ:
```
11
Lattice="6.7245 -0.0028 -0.9183 0.0029 7.0446 0.0034 -1.3355 -0.0021 6.6542" Properties=species:S:1:pos:R:3 pbc="T T T"
Tb 6.0557 1.7316 2.4120
Tb 2.0314 5.3056 6.1960
Tb -0.6638 5.3081 3.3273
Tb 3.3605 1.7341 -0.4567
Tb 0.0000 0.0000 0.0000
Tb 2.6984 5.3633 2.8689
Tb 2.6935 1.6763 2.8703
Cd 4.4432 3.5182 4.7294
Cd 0.9487 3.5214 1.0099
Ni 4.3496 7.0419 1.3190
Ni 1.0422 -0.0023 4.4203
```

Values from the calculation:
volume = 27.9 A^3/atom
D(E_F) = 11.14 states/eV per cell
M_tot = 0.00 μB per formula unit
ΔE_f = -0.156 eV/atom
E_tot = -4.3204 eV/atom



Record 3
Computed, not measured: a relaxed structure of CsMgZr2 at the PBE level of DFT.

Cell and atoms, written as extended XYZ:
```
8
Lattice="-2.3858 3.5403 1.2845 -3.1569 -1.0508 -2.9674 -8.1452 -5.2903 7.1896" Properties=species:S:1:pos:R:3 pbc="T T T"
Cs 0.0000 0.0000 0.0000
Cs -6.6512 -0.2526 3.8163
Mg -2.7713 1.2448 -0.8415
Mg -7.0367 -2.5482 1.6903
Zr -3.8687 0.6796 2.2005
Zr -4.3610 -1.4576 0.1320
Zr -8.2581 -3.0577 4.6947
Zr -10.8882 -1.7659 3.9860
```

Values from the calculation:
volume = 29.0 A^3/atom
D(E_F) = 6.17 states/eV per cell
M_tot = 0.00 μB per formula unit
ΔE_f = 1.072 eV/atom
E_tot = -3.8140 eV/atom



Record 4
Computed, not measured: a relaxed structure of KY4ThSe8 at the PBE level of DFT.

Cell and atoms, written as extended XYZ:
```
14
Lattice="-2.0596 -8.1508 -1.6705 5.2364 -6.3307 2.4433 -2.3510 -5.2426 6.4892" Properties=species:S:1:pos:R:3 pbc="T T T"
K -0.8994 -10.0220 6.0293
Y 1.7228 -9.7025 1.2373
Y 1.3686 -5.7652 4.4527
Y -2.1688 -6.6476 2.4582
Y -1.1702 -2.6958 3.2681
Th -2.3167 -5.2385 6.4266
Se 1.9483 -10.7956 6.2931
Se -2.1143 -11.8091 4.0025
Se -0.9675 -7.2706 4.9326
Se 0.0392 -4.9514 2.1211
Se -0.9695 -8.9716 0.9904
Se 2.8694 -8.0140 3.1549
Se 1.7857 -12.3026 2.2760
Se 0.7123 -14.7818 5.2766
```

Values from the calculation:
volume = 32.3 A^3/atom
D(E_F) = 4.81 states/eV per cell
M_tot = 0.00 μB per formula unit
E_tot = -6.1401 eV/atom



Record 5
Computed, not measured: a relaxed structure of TlIr at the PBE level of DFT.

Cell and atoms, written as extended XYZ:
```
12
Lattice="2.9585 0.0000 0.0000 0.0000 6.6954 0.0000 0.0000 0.0000 12.7854" Properties=species:S:1:pos:R:3 pbc="T T T"
Tl 0.0000 4.8387 9.9201
Tl 1.4792 1.8567 9.2580
Tl 1.4792 1.8567 3.5274
Tl 0.0000 4.8387 2.8653
Tl 0.0000 4.0675 6.3927
Tl 1.4792 2.6279 0.0000
Ir 0.0000 6.5259 7.7297
Ir 1.4792 0.1695 11.4484
Ir 1.4792 0.1695 1.3370
Ir 0.0000 6.5259 5.0557
Ir 0.0000 5.0885 0.0000
Ir 1.4792 1.6069 6.3927
```

Values from the calculation:
volume = 21.1 A^3/atom
D(E_F) = 8.67 states/eV per cell
M_tot = 0.00 μB per formula unit
ΔE_f = 0.500 eV/atom
E_tot = -5.1137 eV/atom



Record 6
Computed, not measured: a relaxed structure of KMnRu at the PBE level of DFT.

Cell and atoms, written as extended XYZ:
```
3
Lattice="-5.5897 2.2273 -2.9083 -3.0708 -0.3433 -5.9260 2.9034 -2.4672 5.4907" Properties=species:S:1:pos:R:3 pbc="T T T"
K -0.0235 0.0051 -0.0240
Mn -2.4265 0.5279 -2.4752
Ru -6.2105 1.3510 -6.3351
```

Values from the calculation:
volume = 22.2 A^3/atom
D(E_F) = 2.34 states/eV per cell
M_tot = 3.07 μB per formula unit
ΔE_f = 0.702 eV/atom
energy above the most stable polymorph in this dataset = 0 meV/atom
E_tot = -5.8121 eV/atom



Record 7
Computed, not measured: a relaxed structure of PrY4Tm4 at the PBE level of DFT.

Cell and atoms, written as extended XYZ:
```
9
Lattice="5.0002 0.0000 0.0000 2.5001 7.5465 0.0000 2.5001 0.0000 7.5465" Properties=species:S:1:pos:R:3 pbc="T T T"
Pr 0.0000 0.0000 0.0000
Y 5.0002 2.5063 2.5074
Y 5.0002 5.0403 5.0392
Y 2.5001 5.0392 2.5063
Y 7.5003 2.5074 5.0403
Tm 5.0002 5.0197 0.0009
Tm 5.0002 2.5268 7.5456
Tm 7.5003 7.5456 5.0197
Tm 2.5001 0.0009 2.5268
```

Values from the calculation:
volume = 31.6 A^3/atom
D(E_F) = 13.38 states/eV per cell
M_tot = 0.00 μB per formula unit
ΔE_f = 0.028 eV/atom
energy above the most stable polymorph in this dataset = 0 meV/atom
E_tot = -5.3628 eV/atom



Record 8
Computed, not measured: a relaxed structure of Pu2BrCl4 at the PBE level of DFT.

Cell and atoms, written as extended XYZ:
```
7
Lattice="-3.3808 -0.7760 3.4671 -1.4882 -4.5658 0.9957 5.4910 -2.6280 8.2348" Properties=species:S:1:pos:R:3 pbc="T T T"
Cl 1.5657 -6.1083 10.5658
Cl -2.9825 -5.5665 6.2521
Cl -0.9438 -1.8615 2.1318
Cl 3.6044 -2.4033 6.4456
Br 0.3110 -3.9849 6.3488
Pu -1.7878 -3.7349 4.3583
Pu 2.4097 -4.2349 8.3393
```

Values from the calculation:
volume = 29.3 A^3/atom
D(E_F) = 20.86 states/eV per cell
M_tot = 11.00 μB per formula unit
E_tot = -7.1825 eV/atom



Record 9
Computed, not measured: a relaxed structure of Pm6AgS8 at the PBE level of DFT.

Cell and atoms, written as extended XYZ:
```
15
Lattice="6.9458 0.0000 4.0102 2.3153 6.5485 4.0102 0.0000 0.0000 8.0203" Properties=species:S:1:pos:R:3 pbc="T T T"
Pm 1.1576 3.2743 6.0152
Pm 3.4729 0.0000 2.0051
Pm 4.6305 3.2743 4.0102
Pm 0.0000 0.0000 4.0102
Pm 1.1576 3.2743 2.0051
Pm 3.4729 0.0000 6.0152
Ag 0.0000 0.0000 0.0000
S 6.9458 4.9114 12.0305
S 2.3153 1.6371 4.0102
S 5.7814 1.6467 6.0269
S 3.4796 4.9019 10.0137
S 2.3288 1.6467 8.0203
S 6.9323 4.9019 8.0203
S 5.7814 1.6467 10.0137
S 3.4796 4.9019 6.0269
```

Values from the calculation:
volume = 24.3 A^3/atom
D(E_F) = 4.77 states/eV per cell
M_tot = 0.00 μB per formula unit
E_tot = -6.1263 eV/atom



Record 10
Computed, not measured: a relaxed structure of Ho2PuNi9 at the PBE level of DFT.

Cell and atoms, written as extended XYZ:
```
12
Lattice="-2.5637 -0.0495 4.2466 0.7423 -3.6256 3.3034 5.1744 3.1857 6.0584" Properties=species:S:1:pos:R:3 pbc="T T T"
Ho 0.5882 -1.8367 9.0261
Ho 2.7648 1.3474 4.5823
Pu 0.0000 0.0000 0.0000
Ni 3.9545 0.7314 11.0882
Ni -0.6015 -1.2207 2.5201
Ni 1.6765 -0.2447 6.8042
Ni 0.5199 -0.7449 4.6468
Ni -0.7660 -0.7697 6.7768
Ni 0.8923 -2.5634 6.3037
Ni 2.8331 0.2556 8.9615
Ni 2.4607 2.0741 7.3046
Ni 4.1190 0.2804 6.8315
```

Values from the calculation:
volume = 14.4 A^3/atom
D(E_F) = 21.91 states/eV per cell
M_tot = 3.58 μB per formula unit
ΔE_f = -0.349 eV/atom
E_tot = -6.6427 eV/atom



Record 11
Computed, not measured: a relaxed structure of MgBeW2 at the PBE level of DFT.

Cell and atoms, written as extended XYZ:
```
4
Lattice="2.6771 0.0000 0.0000 0.0000 4.2181 0.0000 0.0000 0.0000 5.3443" Properties=species:S:1:pos:R:3 pbc="T T T"
Be 1.3386 2.1090 1.3361
Mg 1.3386 2.1090 4.0082
W 0.0000 0.0000 0.0539
W 0.0000 0.0000 2.6182
```

Values from the calculation:
volume = 15.1 A^3/atom
D(E_F) = 1.55 states/eV per cell
M_tot = 0.00 μB per formula unit
ΔE_f = 0.487 eV/atom
energy above the most stable polymorph in this dataset = 193 meV/atom
E_tot = -7.3202 eV/atom



Record 12
Computed, not measured: a relaxed structure of Pm2Co2I at the PBE level of DFT.

Cell and atoms, written as extended XYZ:
```
10
Lattice="3.9773 0.0000 -0.9111 -0.7536 6.8598 -3.2898 0.0973 0.3327 9.5609" Properties=species:S:1:pos:R:3 pbc="T T T"
Pm 0.8017 6.0260 3.5014
Pm 1.1793 2.5961 5.1461
Pm 2.5192 1.1664 1.8585
Pm 2.1416 4.5963 0.2138
Co 0.2006 6.8358 0.8860
Co 2.7390 3.7865 2.8301
Co 3.1203 0.3566 4.4739
Co 0.5819 3.4060 2.5299
I 0.4087 5.1448 -2.6904
I 2.8149 1.7149 -1.5105
```

Values from the calculation:
volume = 26.6 A^3/atom
D(E_F) = 8.16 states/eV per cell
M_tot = 1.35 μB per formula unit
E_tot = -5.4258 eV/atom



Record 13
Computed, not measured: a relaxed structure of DyErGaPb at the PBE level of DFT.

Cell and atoms, written as extended XYZ:
```
4
Lattice="5.2520 0.0000 0.0000 2.6260 4.5484 0.0000 2.6260 1.5161 4.2883" Properties=species:S:1:pos:R:3 pbc="T T T"
Pb 5.2520 3.0323 2.1441
Dy 2.6260 1.5161 1.0721
Ga 0.0000 0.0000 0.0000
Er 7.8780 4.5484 3.2162
```

Values from the calculation:
volume = 25.6 A^3/atom
D(E_F) = 2.89 states/eV per cell
M_tot = 0.00 μB per formula unit
ΔE_f = -0.414 eV/atom
E_tot = -4.3889 eV/atom



Record 14
Computed, not measured: a relaxed structure of YRhI2 at the PBE level of DFT.

Cell and atoms, written as extended XYZ:
```
4
Lattice="0.0000 3.6599 3.6599 3.6599 0.0000 3.6599 3.6599 3.6599 0.0000" Properties=species:S:1:pos:R:3 pbc="T T T"
I 1.8299 1.8299 1.8299
I 5.4898 5.4898 5.4898
Y 0.0000 0.0000 0.0000
Rh 3.6599 3.6599 3.6599
```

Values from the calculation:
volume = 24.5 A^3/atom
D(E_F) = 0.08 states/eV per cell
M_tot = 0.00 μB per formula unit
energy above the most stable polymorph in this dataset = 9 meV/atom
E_tot = -4.4942 eV/atom



Record 15
Computed, not measured: a relaxed structure of Sm3Al5Te12 at the PBE level of DFT.

Cell and atoms, written as extended XYZ:
```
80
Lattice="14.9178 0.0000 0.0000 -4.9726 14.0646 0.0000 -4.9726 -7.0323 12.1803" Properties=species:S:1:pos:R:3 pbc="T T T"
Sm 8.7021 4.3952 1.5225
Sm 8.7021 9.6694 1.5225
Sm -1.2432 6.1533 7.6127
Sm 1.2432 -0.8790 4.5676
Sm 11.1884 0.0000 3.0451
Sm 1.2432 7.0323 3.0451
Sm 3.7295 0.0000 9.1353
Sm -6.2158 7.0323 9.1353
Sm 3.7295 7.9114 7.6127
Sm 6.2158 0.8790 4.5676
Sm -3.7295 -2.6371 10.6578
Sm -3.7295 2.6371 10.6578
Al -1.2432 3.5162 3.0451
Al -2.4863 7.0323 0.0000
Al 0.0000 0.0000 0.0000
Al 3.7295 2.6371 1.5225
Al 4.9726 -3.5162 6.0902
Al 4.9726 7.0323 0.0000
Al -3.7295 7.9114 4.5676
Al 6.2158 -4.3952 10.6578
Al 6.2158 6.1533 4.5676
Al 1.2432 -3.5162 9.1353
Al 3.7295 10.5485 3.0451
Al 2.4863 3.5162 6.0902
Al 7.4589 0.0000 0.0000
Al -2.4863 -3.5162 6.0902
Al -1.2432 0.8790 7.6127
Al -1.2432 11.4275 1.5225
Al -4.9726 3.5162 6.0902
Al 8.7021 -0.8790 7.6127
Al 1.2432 4.3952 10.6578
Al 6.2158 3.5162 9.1353
Te 9.7978 1.4963 0.4029
Te 0.1474 4.6132 4.9958
Te 11.1012 3.2555 3.5470
Te 6.3029 2.0721 1.4973
Te 1.8552 5.2171 8.2304
Te 10.6175 7.0603 2.1402
Te -1.1560 8.2157 5.0443
Te -3.8166 11.9925 1.4973
Te 0.6311 8.8476 8.2304
Te 6.7866 7.0043 2.1402
Te 7.6063 3.9154 4.5929
Te 7.6063 12.5684 0.4029
Te -4.3415 6.2201 6.4931
Te 3.1586 5.1648 1.0459
Te -5.1200 10.1493 4.5929
Te 2.6337 -2.4191 7.1845
Te -0.6311 1.0030 2.5431
Te 3.1586 8.8718 1.0944
Te 6.3029 10.8091 3.5470
Te -0.6723 5.1928 1.0944
Te -3.1174 8.0353 9.6372
Te 3.6423 5.8489 5.0443
Te 6.8278 7.8446 6.4931
Te 5.6449 -1.8675 11.1345
Te 1.3303 1.1834 7.1360
Te -1.8552 -0.8122 5.6872
Te -0.6723 8.8998 1.0459
Te -1.3303 -3.7768 8.6333
Te 8.0900 -1.0030 2.5431
Te 5.6449 1.8395 11.0860
Te 1.8140 -1.8395 11.0860
Te 2.3389 9.4514 4.9958
Te 5.6037 6.0293 9.6372
Te 10.0926 -3.1170 7.5875
Te 9.3141 0.8122 5.6872
Te -2.6337 -5.5360 11.7774
Te 1.8140 1.8675 11.1345
Te 4.3415 -1.8153 3.9500
Te -1.8140 0.0280 10.0401
Te -2.6337 3.1170 7.5875
Te 8.7892 -4.9602 10.6831
Te 6.1286 -1.1834 7.1360
Te -1.3303 4.9602 10.6831
Te -5.6449 -0.0280 10.0401
Te 3.1174 1.8153 3.9500
Te -6.1286 3.7768 8.6333
Te 4.8252 2.4191 7.1845
Te -4.8252 5.5360 11.7774
```

Values from the calculation:
volume = 31.9 A^3/atom
M_tot = 0.00 μB per formula unit
E_tot = -4.2883 eV/atom



Record 16
Computed, not measured: a relaxed structure of Pm2HoBi2O2 at the PBE level of DFT.

Cell and atoms, written as extended XYZ:
```
7
Lattice="-3.9234 1.1628 1.5565 -1.8385 -3.3562 -2.1270 4.0866 -3.8150 6.9934" Properties=species:S:1:pos:R:3 pbc="T T T"
Pm 0.9416 -3.8359 5.2388
Pm -2.6169 -2.1726 1.1841
Ho 0.0000 0.0000 0.0000
Bi 0.4588 -1.8690 2.5525
Bi -2.1340 -4.1395 3.8704
O -0.9192 -1.6781 -1.0635
O -1.9617 0.5814 0.7783
```

Values from the calculation:
volume = 23.0 A^3/atom
D(E_F) = 3.08 states/eV per cell
M_tot = 0.00 μB per formula unit
E_tot = -6.3914 eV/atom



Record 17
Computed, not measured: a relaxed structure of Pm6Ni2I3Cl at the PBE level of DFT.

Cell and atoms, written as extended XYZ:
```
12
Lattice="7.2893 -0.0006 0.0029 -3.6434 6.3135 0.0029 -1.2133 -2.1008 7.7590" Properties=species:S:1:pos:R:3 pbc="T T T"
Pm 3.7489 1.9171 6.3156
Pm 2.3257 4.0270 1.4378
Pm -1.3163 2.2950 1.4492
Pm -0.2130 4.2053 6.3156
Pm 0.1069 0.1851 6.3270
Pm 2.6457 0.0068 1.4492
Ni -0.0036 4.2113 0.0029
Ni 3.6495 2.1016 0.0029
I -2.4909 4.2471 3.8824
I 4.9236 -0.0350 3.8824
I 1.2163 2.1061 3.8824
Cl 0.0000 0.0000 0.0000
```

Values from the calculation:
volume = 29.8 A^3/atom
D(E_F) = 6.07 states/eV per cell
M_tot = 0.00 μB per formula unit
E_tot = -4.7351 eV/atom



Record 18
Computed, not measured: a relaxed structure of Zn2CrAg at the PBE level of DFT.

Cell and atoms, written as extended XYZ:
```
4
Lattice="-3.2801 0.7190 -0.7666 -0.7793 -0.4774 2.8865 0.1966 5.2551 4.0873" Properties=species:S:1:pos:R:3 pbc="T T T"
Ag -1.7857 1.5539 1.3601
Cr -2.0771 3.9427 4.8470
Zn 0.1850 5.1884 4.0744
Zn -0.2798 2.4555 3.4999
```

Values from the calculation:
volume = 15.5 A^3/atom
D(E_F) = 1.79 states/eV per cell
M_tot = 3.52 μB per formula unit
ΔE_f = 0.150 eV/atom
E_tot = -3.6054 eV/atom



Record 19
Computed, not measured: a relaxed structure of SrLiRe2 at the PBE level of DFT.

Cell and atoms, written as extended XYZ:
```
4
Lattice="-1.6448 -2.0492 1.0963 2.3729 0.2949 1.5455 -4.5939 6.7696 5.7618" Properties=species:S:1:pos:R:3 pbc="T T T"
Li -3.2874 4.5037 5.9006
Re -0.0627 0.0924 0.0787
Re -0.6120 0.5612 2.5451
Sr -2.2005 3.2427 2.7600
```

Values from the calculation:
volume = 19.0 A^3/atom
D(E_F) = 3.10 states/eV per cell
M_tot = 0.00 μB per formula unit
ΔE_f = 0.794 eV/atom
energy above the most stable polymorph in this dataset = 353 meV/atom
E_tot = -6.3286 eV/atom